# 1
A crystal of BeCoSe2 relaxed with PBEsol, computed with meta-GGA SCAN.

Geometry as POSCAR:
```
BeCoSe2
1.0
3.432 0.000 0.000
0.000 3.432 0.000
-0.001 0.000 5.637
Be Co Se
1 1 2
Cartesian
0.000 0.000 0.000 Be
1.711 1.716 0.004 Co
1.713 0.000 1.533 Se
3.425 1.716 4.110 Se
```

Values from the calculation:
- Electronic total energy: -15.765 eV/atom
- ΔE_f (raw): -0.311 eV per atom

***

# 2
A crystal of FeAs2RuSe relaxed with PBEsol, computed with meta-GGA SCAN.

Geometry as POSCAR:
```
FeAs2RuSe
1.0
4.357 0.000 0.000
0.000 4.357 0.000
0.000 0.000 4.545
Fe As Ru Se
1 2 1 1
Cartesian
0.000 0.000 0.000 Fe
0.000 2.179 0.000 As
2.179 0.000 0.000 As
2.179 2.179 2.273 Ru
0.000 0.000 2.273 Se
```

Values from the calculation:
- Electronic total energy: -21.762 eV/atom
- ΔE_f (raw): 0.921 eV per atom

***

# 3
A crystal of MnCrFe relaxed with PBEsol, computed with meta-GGA SCAN.

Geometry as POSCAR:
```
MnCrFe
1.0
2.437 0.000 0.000
0.000 3.475 0.000
0.000 0.000 7.410
Mn Cr Fe
2 2 2
Cartesian
0.000 0.000 0.000 Mn
1.218 1.737 3.705 Mn
0.000 0.000 4.982 Cr
1.218 1.737 1.277 Cr
0.000 0.000 2.526 Fe
1.218 1.737 6.231 Fe
```

Values from the calculation:
- Electronic total energy: -17.911 eV/atom
- DFT formation energy: 0.35 eV/atom

***

# 4
A crystal of CaCrW2C relaxed with PBEsol, computed with meta-GGA SCAN.

Geometry as POSCAR:
```
CaCrW2C
1.0
4.683 0.000 0.000
0.000 4.683 0.000
0.000 0.000 4.049
Ca Cr W C
1 1 2 1
Cartesian
0.000 0.000 0.000 Ca
2.342 2.342 2.024 Cr
0.000 2.342 0.000 W
2.342 0.000 0.000 W
0.000 0.000 2.024 C
```

Values from the calculation:
- Electronic total energy: -31.815 eV/atom
- DFT formation energy: 3.69 eV/atom

***

# 5
A crystal of CaZnS3 relaxed with PBEsol, computed with meta-GGA SCAN.

Geometry as POSCAR:
```
CaZnS3
1.0
4.656 0.000 0.000
0.000 4.656 0.000
0.000 0.000 4.656
Ca Zn S
1 1 3
Cartesian
0.000 0.000 0.000 Ca
2.328 2.328 2.328 Zn
0.000 2.328 2.328 S
2.328 0.000 2.328 S
2.328 2.328 0.000 S
```

Values from the calculation:
- Electronic total energy: -11.052 eV/atom
- ΔE_f (raw): -0.640 eV per atom

***

# 6
A crystal of NaLuGeO4 relaxed with PBEsol, computed with meta-GGA SCAN.

Geometry as POSCAR:
```
NaLuGeO4
1.0
11.207 0.000 0.000
0.000 6.281 0.000
0.000 0.000 5.221
Na Lu Ge O
4 4 4 16
Cartesian
0.000 0.000 0.000 Na
0.000 3.141 0.000 Na
5.603 0.000 2.610 Na
5.603 3.141 2.610 Na
2.506 1.570 2.569 Lu
3.097 4.711 5.179 Lu
8.110 1.570 0.042 Lu
8.701 4.711 2.652 Lu
1.110 4.711 2.869 Ge
4.493 1.570 0.258 Ge
6.714 4.711 4.962 Ge
10.097 1.570 2.352 Ge
0.530 1.570 1.739 O
1.266 4.711 1.144 O
1.990 3.383 3.697 O
1.990 6.040 3.697 O
3.613 0.242 1.087 O
3.613 2.899 1.087 O
4.337 1.570 3.754 O
5.074 4.711 4.349 O
6.133 1.570 0.872 O
6.870 4.711 1.466 O
7.594 3.383 4.134 O
7.594 6.040 4.134 O
9.217 0.242 1.523 O
9.217 2.899 1.523 O
9.941 1.570 4.076 O
10.677 4.711 3.482 O
```

Values from the calculation:
- Electronic total energy: -17.534 eV/atom
- ΔE_f (raw): -2.738 eV per atom

***

# 7
A crystal of AlRh relaxed with PBEsol, computed with meta-GGA SCAN.

Geometry as POSCAR:
```
AlRh
1.0
7.640 0.000 0.000
0.000 10.609 0.000
0.000 0.000 2.804
Al Rh
8 8
Cartesian
0.000 1.471 0.000 Al
0.000 9.138 0.000 Al
1.685 5.305 1.402 Al
2.135 0.000 1.402 Al
3.820 3.833 0.000 Al
3.820 6.776 0.000 Al
5.505 0.000 1.402 Al
5.955 5.305 1.402 Al
0.000 3.957 0.000 Rh
0.000 6.652 0.000 Rh
1.910 2.652 1.402 Rh
1.910 7.957 1.402 Rh
3.820 1.347 0.000 Rh
3.820 9.262 0.000 Rh
5.730 2.652 1.402 Rh
5.730 7.957 1.402 Rh
```

Values from the calculation:
- Electronic total energy: -21.391 eV/atom
- DFT formation energy: -0.63 eV/atom

***

# 8
A crystal of LiY2NbSe relaxed with PBEsol, computed with meta-GGA SCAN.

Geometry as POSCAR:
```
LiY2NbSe
1.0
5.182 0.000 0.000
0.000 5.182 0.000
0.000 0.000 4.053
Li Y Nb Se
1 2 1 1
Cartesian
0.000 0.000 0.000 Li
0.000 2.591 0.000 Y
2.591 0.000 0.000 Y
2.591 2.591 2.026 Nb
0.000 0.000 2.026 Se
```

Values from the calculation:
- Electronic total energy: -21.904 eV/atom
- ΔE_f (raw): 0.353 eV per atom

***

Q: Look up the electronic total energy of the sixth one.
A: -17.534 eV/atom